Record 1
Compound: Ac7Sn3Ge
Source: Alexandria via LeMat-Bulk
Functional: GGA-PBE
Structure: relaxed

## Properties
Mass density = 8.3 g cm⁻³
Total magnetic moment = 0.000 μB per atom
Formation energy = -0.401 eV per atom

Cell: 6.2826 10.2418 12.5752 Å, 90.00 90.00 90.00°
Last column: nearest neighbours and their distance in Å.
Space group Immm (No. 71)
Unique sites:
Ac 0.0000 0.0000 0.0000 [2 per cell]  2 Ge 3.14, 2 Sn 3.37
Ac 0.0000 0.1801 0.5000 [4 per cell]  1 Ge 3.28, 4 Sn 3.46-3.64
Ac 0.0000 0.3371 0.2370 [8 per cell]  4 Ac 3.34-3.68, 4 Sn 3.42-3.56, 1 Ge 3.70
Sn 0.0000 0.0000 0.2676 [4 per cell]  9 Ac 3.37-3.56
Sn 0.0000 0.5000 0.0000 [2 per cell]  8 Ac 3.42-3.64
Ge 0.0000 0.5000 0.5000 [2 per cell]  4 Ac 3.14-3.28

Record 2
Compound: Rb2TmTlO4
Source: Alexandria via LeMat-Bulk
Functional: GGA-PBE
Structure: relaxed

## Properties
Mass density = 5.8 g cm⁻³
Total magnetic moment = 0.000 μB per atom
Formation energy without anion corrections = -1.811 eV/atom

Cell: 6.2900 6.2900 8.7779 Å, 90.00 90.00 90.00°
Last column: nearest neighbours and their distance in Å.
Space group I-4 (No. 82)
Unique sites:
Rb 0.0000 0.0000 0.0000 [2 per cell]  4 O 2.87
Rb 0.0000 0.5000 0.2500 [2 per cell]  4 O 2.94
Tm 0.0000 0.5000 0.7500 [2 per cell]  4 O 2.11
Tl 0.0000 0.0000 0.5000 [2 per cell]  4 O 2.18
O 0.1535 0.2584 0.6238 [8 per cell]  1 Tm 2.11, 1 Tl 2.18

Record 3
Compound: Ta3Re2Rh
Source: Alexandria via LeMat-Bulk
Functional: GGA-PBE
Structure: relaxed

## Properties
Mass density = 17.2 g cm⁻³
Total magnetic moment = 0.000 μB per atom
Formation energy = -0.378 eV per atom

Cell: 3.2155 3.2155 9.5202 Å, 90.00 90.00 90.00°
Last column: nearest neighbours and their distance in Å.
Space group P4/mmm (No. 123)
Unique sites:
Ta 0.0000 0.0000 0.0000 [1 per cell]  8 Re 2.79
Ta 0.0000 0.0000 0.3309 [2 per cell]  4 Re 2.75, 4 Rh 2.79
Re 0.5000 0.5000 0.1693 [2 per cell]  8 Ta 2.75-2.79
Rh 0.5000 0.5000 0.5000 [1 per cell]  8 Ta 2.79

Record 4
Compound: LaNd3Ni
Source: Alexandria via LeMat-Bulk
Functional: GGA-PBE
Structure: relaxed

## Properties
Mass density = 6.2 g cm⁻³
Energy relative to the lowest polymorph listed for this composition = 130 meV per atom
Total magnetic moment = 0.001 μB per atom
Formation energy = 0.008 eV per atom

Cell: 5.5262 5.5262 5.5262 Å, 90.00 90.00 90.00°
Last column: nearest neighbours and their distance in Å.
Space group Pm-3m (No. 221)
Unique sites:
La 0.0000 0.0000 0.0000 [1 per cell]  12 Nd 3.91
Nd 0.0000 0.5000 0.5000 [3 per cell]  2 Ni 2.76
Ni 0.5000 0.5000 0.5000 [1 per cell]  6 Nd 2.76

Record 5
Compound: Zr2ZnTcSe
Source: Alexandria via LeMat-Bulk
Functional: GGA-PBE
Structure: relaxed

## Properties
Mass density = 6.0 g cm⁻³
Total magnetic moment = 0.000 μB per atom
Formation energy without anion corrections = 0.262 eV/atom

Cell: 4.9573 4.9573 4.8221 Å, 90.00 90.00 90.00°
Last column: nearest neighbours and their distance in Å.
Space group P4/mmm (No. 123)
Unique sites:
Zr 0.0000 0.5000 0.0000 [2 per cell]  2 Tc 2.48
Zn 0.0000 0.0000 0.5000 [1 per cell]  2 Tc 2.41
Tc 0.0000 0.0000 0.0000 [1 per cell]  2 Zn 2.41, 4 Zr 2.48
Se 0.5000 0.5000 0.5000 [1 per cell]  8 Zr 3.46, 4 Zn 3.51

Record 6
Compound: NaBPb
Source: Alexandria via LeMat-Bulk
Functional: GGA-PBE
Structure: relaxed

## Properties
Mass density = 6.2 g cm⁻³
Total magnetic moment = 0.000 μB per atom
Formation energy = 0.872 eV per atom

Cell: 4.4830 4.4830 12.8896 Å, 90.00 90.00 90.00°
Last column: nearest neighbours and their distance in Å.
Space group P4_122 (No. 91)
Unique sites:
Na 0.0000 0.3916 0.0000 [4 per cell]  4 B 2.69-2.88
B 0.0829 0.0829 0.3750 [4 per cell]  2 Pb 2.47, 2 Na 2.69
Pb 0.1181 0.5000 0.2500 [4 per cell]  2 B 2.47

Record 7
Compound: Pa2Ga2Fe3
Source: Alexandria via LeMat-Bulk
Functional: GGA-PBE
Structure: relaxed

## Properties
Mass density = 10.6 g cm⁻³
Energy relative to the lowest polymorph listed for this composition = 241 meV per atom
Total magnetic moment = 0.000 μB per atom
Formation energy = -0.162 eV per atom

Cell: 7.8480 7.8480 7.8480 Å, 90.00 90.00 90.00°
Last column: nearest neighbours and their distance in Å.
Space group I2_13 (No. 199)
Unique sites:
Pa 0.0134 0.0134 0.0134 [8 per cell]  3 Fe 2.53
Ga 0.2005 0.2995 0.7005 [8 per cell]  3 Fe 2.44
Fe 0.0000 0.2500 0.2328 [12 per cell]  2 Ga 2.44, 2 Pa 2.53, 4 Fe 2.68

Record 8
Compound: BaPr2Mg
Source: Alexandria via LeMat-Bulk
Functional: GGA-PBE
Structure: relaxed

## Properties
Mass density = 4.9 g cm⁻³
Energy relative to the lowest polymorph listed for this composition = 174 meV per atom
Total magnetic moment = 0.000 μB per atom
Formation energy = 0.223 eV per atom

Cell: 3.6931 3.6931 38.4533 Å, 90.00 90.00 120.00°
Last column: nearest neighbours and their distance in Å.
Space group R-3m (No. 166, hexagonal axes)
Unique sites:
Ba 0.0000 0.0000 0.0000 [3 per cell]  6 Ba 3.69, 2 Pr 3.76
Pr 0.0000 0.0000 0.0977 [6 per cell]  3 Mg 3.40, 6 Pr 3.69, 1 Ba 3.76
Mg 0.0000 0.0000 0.5000 [3 per cell]  6 Pr 3.40, 6 Mg 3.69

Record 9
Compound: CeErTmTh
Source: Alexandria via LeMat-Bulk
Functional: GGA-PBE
Structure: relaxed

## Properties
Mass density = 9.4 g cm⁻³
Energy relative to the lowest polymorph listed for this composition = 202 meV per atom
Total magnetic moment = 0.680 μB per atom
Formation energy = 0.224 eV per atom

Cell: 7.9398 7.9398 7.9398 Å, 90.00 90.00 90.00°
Last column: nearest neighbours and their distance in Å.
Space group F-43m (No. 216)
Unique sites:
Ce 0.0000 0.0000 0.0000 [4 per cell]  4 Th 3.44, 4 Tm 3.44
Er 0.0000 0.0000 0.5000 [4 per cell]  4 Th 3.44, 4 Tm 3.44
Tm 0.2500 0.2500 0.7500 [4 per cell]  4 Ce 3.44, 4 Er 3.44
Th 0.2500 0.2500 0.2500 [4 per cell]  4 Ce 3.44, 4 Er 3.44

Record 10
Compound: Rb2AgTeS
Source: Alexandria via LeMat-Bulk
Functional: GGA-PBE
Structure: relaxed

## Properties
Mass density = 3.6 g cm⁻³
Total magnetic moment = 0.138 μB per atom
Formation energy without anion corrections = -0.526 eV/atom

Cell: 6.5891 6.5891 4.6164 Å, 90.00 90.00 90.00°
Last column: nearest neighbours and their distance in Å.
Space group P4/mmm (No. 123)
Unique sites:
Rb 0.0000 0.5000 0.0000 [2 per cell]  2 S 3.29
Ag 0.0000 0.0000 0.5000 [1 per cell]  2 S 2.31
Te 0.5000 0.5000 0.5000 [1 per cell]  8 Rb 4.02
S 0.0000 0.0000 0.0000 [1 per cell]  2 Ag 2.31